Entry 1:
4
Lattice="0.0000 4.1720 4.1720 4.1720 0.0000 4.1720 4.1720 4.1720 0.0000" Properties=species:S:1:pos:R:3 comment="Cs2AsPt GGA-PBE optimized geometry" e_tot_ev_per_atom=-2.5888 total_magnetization_mub_per_atom=0.67 n_ef_per_ev_cell=3.28 formation_energy_ev_per_atom=0.511 spacegroup=Fm-3m pbc="T T T"
Cs 6.2580 6.2580 6.2580
Cs 2.0860 2.0860 2.0860
As 0.0000 0.0000 0.0000
Pt 4.1720 4.1720 4.1720

Entry 2:
5
Lattice="-1.8139 1.3426 2.6893 -2.4400 -2.4920 -0.4017 1.9205 -2.2721 2.4296" Properties=species:S:1:pos:R:3 comment="LiCo2CuH GGA-PBE optimized geometry" e_tot_ev_per_atom=-4.6438 total_magnetization_mub_per_atom=0.52 n_ef_per_ev_cell=5.09 spacegroup=P4/mmm pbc="T T T"
H 0.0000 0.0000 0.0000
Cu -1.1667 -1.7107 2.3586
Co -0.9069 0.6713 1.3446
Co -1.2200 -1.2460 -0.2008
Li 0.9602 -1.1360 1.2148

Entry 3:
6
Lattice="-0.9346 2.8330 -0.7823 -4.9062 -2.0058 -1.4025 -2.4258 1.1061 6.9041" Properties=species:S:1:pos:R:3 comment="MgGaHg GGA-PBE optimized geometry" e_tot_ev_per_atom=-1.7524 total_magnetization_mub_per_atom=0.00 n_ef_per_ev_cell=1.51 e_above_lowest_polymorph_mev_per_atom=0 formation_energy_ev_per_atom=-0.111 spacegroup=Pmma pbc="T T T"
Mg -2.1954 1.1438 0.6857
Mg -6.0712 0.7896 4.0337
Hg -3.3112 0.4491 5.5824
Hg -4.0208 -1.3487 -0.0809
Ga -1.2129 0.5531 3.4520
Ga -3.6660 -0.4498 2.7508

Entry 4:
12
Lattice="-5.3933 -1.0777 1.0877 -1.0513 -0.3869 -5.5964 2.2586 -8.2204 3.0543" Properties=species:S:1:pos:R:3 comment="CeZnInPt3 GGA-PBE optimized geometry" e_tot_ev_per_atom=-5.1736 total_magnetization_mub_per_atom=0.15 n_ef_per_ev_cell=16.57 formation_energy_ev_per_atom=-0.496 spacegroup=Cmcm pbc="T T T"
Zn -4.2306 -2.6529 -1.9322
Zn 0.0445 -7.0322 0.4778
Pt -0.2736 -0.1007 -1.4566
Pt -2.9703 -0.6395 -0.9128
Pt -0.7777 -0.2862 -4.1398
Pt -0.4602 -4.5816 0.4032
Pt -3.4743 -0.8250 -3.5959
Pt -3.7259 -5.1034 -1.8576
In -0.9964 -1.9780 0.3239
In -3.1896 -7.7070 -1.7783
Ce -1.1160 -4.1431 -2.4142
Ce -3.0700 -5.5419 0.9599

Repeat the second record exactly.
5
Lattice="-1.8139 1.3426 2.6893 -2.4400 -2.4920 -0.4017 1.9205 -2.2721 2.4296" Properties=species:S:1:pos:R:3 comment="LiCo2CuH GGA-PBE optimized geometry" e_tot_ev_per_atom=-4.6438 total_magnetization_mub_per_atom=0.52 n_ef_per_ev_cell=5.09 spacegroup=P4/mmm pbc="T T T"
H 0.0000 0.0000 0.0000
Cu -1.1667 -1.7107 2.3586
Co -0.9069 0.6713 1.3446
Co -1.2200 -1.2460 -0.2008
Li 0.9602 -1.1360 1.2148